No. 1
Entry from the Alexandria database: a geometry-optimized Tl2OsRh structure (PBE).

formation energy from the elements: 742 meV per atom
space group: C2/m
total moment: 0.00 μB/f.u.
DOS at the Fermi energy: 4.3 states/eV per cell
energy above the lowest structure with this stoichiometry: 246.7 meV per atom

a = 4.717 Å, b = 4.717 Å, c = 5.436 Å
α = 101.54°, β = 101.54°, γ = 39.26°
Element x y z (fractional)
1 Tl 0.249 0.249 0.250
2 Tl 0.751 0.751 0.750
3 Os 0.000 0.000 0.500
4 Rh 0.500 0.500 0.000

No. 2
Entry from the Alexandria database: a geometry-optimized Pr4Er3Ga4 structure (PBE).

formation energy from the elements: -402 meV per atom
space group: Immm
total moment: 0.00 μB/f.u.
DOS at the Fermi energy: 8.6 states/eV per cell

a = 10.478 Å, b = 10.478 Å, c = 10.478 Å
α = 160.57°, β = 128.42°, γ = 55.63°
Element x y z (fractional)
1 Pr 0.009 0.835 0.175
2 Pr 0.340 0.165 0.175
3 Pr 0.660 0.835 0.825
4 Pr 0.991 0.165 0.825
5 Er 0.000 0.500 0.500
6 Er 0.408 0.408 0.000
7 Er 0.592 0.592 0.000
8 Ga 0.277 0.000 0.277
9 Ga 0.280 0.780 0.500
10 Ga 0.720 0.220 0.500
11 Ga 0.723 0.000 0.723